# 1
# AgAsRu2 (GGA-PBE, relaxed)
data_AgAsRu2
_cell_length_a 3.877
_cell_length_b 2.957
_cell_length_c 5.632
_cell_angle_alpha 74.07
_cell_angle_beta 90.00
_cell_angle_gamma 90.00
_space_group_name_H-M_alt 'P 1'
_space_group_IT_number 1
loop_
_space_group_symop_operation_xyz
'x,y,z'
loop_
_atom_site_label
_atom_site_type_symbol
_atom_site_fract_x
_atom_site_fract_y
_atom_site_fract_z
As1 As 0.500 0.750 0.750
Ru1 Ru 0.000 0.889 0.974
Ru2 Ru 0.000 0.611 0.526
Ag1 Ag 0.500 0.250 0.250
# Total energy   -25.07 eV per cell
# Total moment   0.00 μB/cell
# DOS at the Fermi energy   2.90 states/eV/f.u.
# DFT formation energy   246 meV/atom

# 2
# AgAsRu2 (GGA-PBE, relaxed)
data_AgAsRu2
_cell_length_a 4.389
_cell_length_b 4.389
_cell_length_c 3.113
_cell_angle_alpha 90.00
_cell_angle_beta 90.00
_cell_angle_gamma 90.01
_space_group_name_H-M_alt 'P 1'
_space_group_IT_number 1
loop_
_space_group_symop_operation_xyz
'x,y,z'
loop_
_atom_site_label
_atom_site_type_symbol
_atom_site_fract_x
_atom_site_fract_y
_atom_site_fract_z
As1 As 0.000 0.500 0.500
Ru1 Ru 0.500 0.500 0.000
Ru2 Ru 0.000 0.000 0.000
Ag1 Ag 0.500 0.000 0.500
# Total energy   -24.53 eV per cell
# Total moment   0.00 μB/cell
# DOS at the Fermi energy   4.88 states/eV/f.u.
# DFT formation energy   381 meV/atom